# 1
A relaxed NaYPCl2 crystal, computed with PBE-GGA.

Magnetic moment (μB per cell): 1.00
Energy above the most stable polymorph in this dataset (meV/atom): 516.6
ΔE_f (raw) (eV/atom): -0.6550
Fermi-level density of states (states/eV/cell): 0.18
Total energy (eV per atom): -4.032

a = 4.705 Å, b = 4.705 Å, c = 5.498 Å
α = 90.00°, β = 90.00°, γ = 90.00°
Space group P4/mmm (No. 123)
Symmetry-distinct sites (fractional):
Na 0.000 0.000 0.000 (multiplicity 1)
Y 0.500 0.500 0.500 (multiplicity 1)
P 0.000 0.000 0.500 (multiplicity 1)
Cl 0.000 0.500 0.000 (multiplicity 2)



# 2
A relaxed NaZnPCl2 crystal, computed with PBE-GGA.

Magnetic moment (μB per cell): 2.13
Energy above the most stable polymorph in this dataset (meV/atom): 666.3
ΔE_f (raw) (eV/atom): 0.2295
Fermi-level density of states (states/eV/cell): 2.89
Total energy (eV per atom): -2.110

a = 5.029 Å, b = 5.029 Å, c = 5.603 Å
α = 90.00°, β = 90.00°, γ = 90.00°
Space group P4/mmm (No. 123)
Symmetry-distinct sites (fractional):
Na 0.000 0.000 0.000 (multiplicity 1)
Zn 0.500 0.500 0.500 (multiplicity 1)
P 0.000 0.000 0.500 (multiplicity 1)
Cl 0.000 0.500 0.000 (multiplicity 2)



# 3
A relaxed NaZnP2Cl crystal, computed with PBE-GGA.

Magnetic moment (μB per cell): 1.47
Energy above the most stable polymorph in this dataset (meV/atom): 0.0
ΔE_f (raw) (eV/atom): 0.1267
Fermi-level density of states (states/eV/cell): 3.56
Total energy (eV per atom): -2.925

a = 4.565 Å, b = 4.565 Å, c = 6.007 Å
α = 90.00°, β = 90.00°, γ = 90.00°
Space group P4/mmm (No. 123)
Symmetry-distinct sites (fractional):
Na 0.000 0.000 0.000 (multiplicity 1)
Zn 0.500 0.500 0.500 (multiplicity 1)
P 0.000 0.500 0.500 (multiplicity 2)
Cl 0.500 0.500 0.000 (multiplicity 1)



# 4
A relaxed NaZnP2Cl crystal, computed with PBE-GGA.

Magnetic moment (μB per cell): 2.01
Energy above the most stable polymorph in this dataset (meV/atom): 822.1
ΔE_f (raw) (eV/atom): 0.9488
Fermi-level density of states (states/eV/cell): 3.15
Total energy (eV per atom): -2.103

a = 5.128 Å, b = 5.128 Å, c = 4.927 Å
α = 90.00°, β = 90.00°, γ = 90.00°
Space group P4/mmm (No. 123)
Symmetry-distinct sites (fractional):
Na 0.000 0.000 0.000 (multiplicity 1)
Zn 0.500 0.500 0.500 (multiplicity 1)
P 0.000 0.500 0.000 (multiplicity 2)
Cl 0.000 0.000 0.500 (multiplicity 1)



# 5
A relaxed NaZnPCl2 crystal, computed with PBE-GGA.

Magnetic moment (μB per cell): 2.01
Energy above the most stable polymorph in this dataset (meV/atom): 0.0
ΔE_f (raw) (eV/atom): -0.4368
Fermi-level density of states (states/eV/cell): 0.27
Total energy (eV per atom): -2.776

a = 5.274 Å, b = 5.274 Å, c = 4.642 Å
α = 90.00°, β = 90.00°, γ = 90.00°
Space group P4/mmm (No. 123)
Symmetry-distinct sites (fractional):
Na 0.000 0.000 0.000 (multiplicity 1)
Zn 0.500 0.500 0.500 (multiplicity 1)
P 0.500 0.500 0.000 (multiplicity 1)
Cl 0.000 0.500 0.500 (multiplicity 2)



# 6
A relaxed Na5Pa3Cl12 crystal, computed with PBE-GGA.

Magnetic moment (μB per cell): 64.02
ΔE_f (raw) (eV/atom): -1.4387
Fermi-level density of states (states/eV/cell): 207.84
Total energy (eV per atom): -4.301

a = 16.292 Å, b = 16.292 Å, c = 16.292 Å
α = 90.00°, β = 90.00°, γ = 90.00°
Space group Ia-3d (No. 230)
Symmetry-distinct sites (fractional):
Na 0.000 0.000 0.000 (multiplicity 16)
Na 0.000 0.250 0.375 (multiplicity 24)
Pa 0.000 0.250 0.125 (multiplicity 24)
Cl 0.020 0.071 0.655 (multiplicity 96)



# 7
A relaxed Na4PaCl8 crystal, computed with PBE-GGA.

Magnetic moment (μB per cell): 4.00
ΔE_f (raw) (eV/atom): -1.5657
Fermi-level density of states (states/eV/cell): 49.72
Total energy (eV per atom): -3.838

a = 11.718 Å, b = 11.718 Å, c = 11.718 Å
α = 90.00°, β = 90.00°, γ = 90.00°
Space group F-43m (No. 216)
Symmetry-distinct sites (fractional):
Na 0.104 0.104 0.396 (multiplicity 16)
Pa 0.000 0.000 0.000 (multiplicity 4)
Cl 0.121 0.121 0.621 (multiplicity 16)
Cl 0.126 0.126 0.126 (multiplicity 16)



# 8
A relaxed NaPaCl5 crystal, computed with PBE-GGA.

Magnetic moment (μB per cell): 4.01
ΔE_f (raw) (eV/atom): -1.8388
Fermi-level density of states (states/eV/cell): 5.68
Total energy (eV per atom): -4.703

a = 11.823 Å, b = 8.556 Å, c = 10.584 Å
α = 90.00°, β = 117.04°, γ = 90.00°
Space group C2/c (No. 15)
Symmetry-distinct sites (fractional):
Na 0.000 0.005 0.250 (multiplicity 4)
Pa 0.000 0.500 0.000 (multiplicity 4)
Cl 0.000 0.402 0.250 (multiplicity 4)
Cl 0.051 0.209 0.970 (multiplicity 8)
Cl 0.241 0.435 0.638 (multiplicity 8)